1.
This record from the Alexandria database describes an optimized crystal structure of Sr2IN. The functional is PBE-GGA.

Lattice parameters (Å, degrees): 8.2204 8.2204 8.2204 28.26 28.26 28.26
With the nearest neighbours (Å) after each atom.
Atoms (fractional coordinates):
Sr: 0.0000 0.0000 0.0000  3 N 2.67
Sr: 0.2207 0.2207 0.2207  3 N 2.67
I: 0.7780 0.7780 0.7780  6 Sr 3.47-3.51
N: 0.6103 0.6103 0.6103  6 Sr 2.67

Magnetic moment = 0.02 μB/atom
Crystal system = trigonal
Final energy = -4.38 eV per atom
Uncorrected formation energy = -1.074 eV/atom



2.
This record from the Alexandria database describes an optimized crystal structure of Sr4I2N. The functional is PBE-GGA.

Lattice parameters (Å, degrees): 8.8641 8.8641 8.8641 143.01 143.01 53.31
With the nearest neighbours (Å) after each atom.
Atoms (fractional coordinates):
Sr: 0.0000 0.5000 0.5000  2 N 2.81
Sr: 0.1635 0.1635 0.0000  1 N 2.59
Sr: 0.5000 0.0000 0.5000  2 N 2.81
Sr: 0.8365 0.8365 0.0000  1 N 2.59
I: 0.3792 0.3792 0.0000  5 Sr 3.40-3.42
I: 0.6208 0.6208 0.0000  5 Sr 3.40-3.42
N: 0.0000 0.0000 0.0000  6 Sr 2.59-2.81

Magnetic moment = 0.00 μB/atom
Crystal system = tetragonal
Final energy = -3.33 eV per atom
Uncorrected formation energy = -0.732 eV/atom



3.
This record from the Alexandria database describes an optimized crystal structure of SrIN2. The functional is PBE-GGA.

Lattice parameters (Å, degrees): 5.2417 5.2417 10.3146 90.00 90.00 127.72
With the nearest neighbours (Å) after each atom.
Atoms (fractional coordinates):
Sr: 0.0581 0.9419 0.7500  4 N 2.67-2.72
Sr: 0.9419 0.0581 0.2500  4 N 2.67-2.72
I: 0.5000 0.5000 0.0000  4 Sr 3.50, 8 N 3.71-3.75
I: 0.5000 0.5000 0.5000  4 Sr 3.50, 8 N 3.71-3.75
N: 0.0956 0.6476 0.2500  1 N 1.19
N: 0.3524 0.9044 0.2500  1 N 1.19
N: 0.6476 0.0956 0.7500  1 N 1.19
N: 0.9044 0.3524 0.7500  1 N 1.19

Magnetic moment = 0.25 μB/atom
Crystal system = orthorhombic
Final energy = -5.65 eV per atom
Uncorrected formation energy = -0.682 eV/atom